## i
{
  "formula": "La2Au3",
  "functional": "PBEsol",
  "state": "optimized geometry",
  "magnetic_moment_mub_per_cell": 0.000,
  "cell": [[0.0000, 7.8170, 2.9511], [5.1696, 0.0000, 2.9511], [5.1696, 7.8170, 0.0000]],
  "species": ["La", "La", "La", "La", "Au", "Au", "Au", "Au", "Au", "Au"],
  "frac_coords": [[0.2243, 0.7757, 0.3792], [0.6292, 0.8708, 0.4743], [0.7757, 0.2243, 0.6208], [0.8708, 0.6292, 0.0257], [0.1794, 0.8011, 0.0633], [0.1867, 0.2937, 0.0706], [0.2937, 0.1867, 0.4489], [0.3437, 0.3437, 0.6563], [0.5937, 0.5937, 0.9063], [0.8011, 0.1794, 0.9563]]
}



## ii
{
  "formula": "La2Au3",
  "functional": "PBEsol",
  "state": "optimized geometry",
  "magnetic_moment_mub_per_cell": 0.000,
  "cell": [[-1.8959, 1.8959, 8.3354], [1.8959, -1.8959, 8.3354], [1.8959, 1.8959, -8.3354]],
  "species": ["La", "La", "Au", "Au", "Au"],
  "frac_coords": [[0.1112, 0.1112, 0.0000], [0.8888, 0.8888, 0.0000], [0.2959, 0.2959, 0.0000], [0.5000, 0.5000, 0.0000], [0.7041, 0.7041, 0.0000]]
}



Most stable to least stable: ii, i



## i
{
  "formula": "La5Au",
  "functional": "PBEsol",
  "state": "optimized geometry",
  "magnetic_moment_mub_per_cell": 0.001,
  "cell": [[0.0000, 4.5012, 4.5012], [4.5012, 0.0000, 4.5012], [4.5012, 4.5012, 0.0000]],
  "species": ["La", "La", "La", "La", "La", "Au"],
  "frac_coords": [[0.0000, 0.0000, 0.0000], [0.3765, 0.3765, 0.3765], [0.3765, 0.3765, 0.8706], [0.3765, 0.8706, 0.3765], [0.8706, 0.3765, 0.3765], [0.7500, 0.7500, 0.7500]]
}



## ii
{
  "formula": "La5Au",
  "functional": "PBEsol",
  "state": "optimized geometry",
  "magnetic_moment_mub_per_cell": 0.001,
  "cell": [[6.1823, -1.8513, 0.0000], [6.1823, 1.8513, 0.0000], [-2.7900, 0.0000, 8.1589]],
  "species": ["La", "La", "La", "La", "La", "Au"],
  "frac_coords": [[0.0000, 0.0000, 0.0000], [0.0079, 0.0079, 0.4071], [0.3689, 0.3689, 0.6491], [0.6740, 0.6740, 0.7886], [0.7244, 0.7244, 0.2808], [0.3174, 0.3174, 0.0664]]
}



Most stable to least stable: ii, i



## i
{
  "formula": "LaMoAu2",
  "functional": "PBEsol",
  "state": "optimized geometry",
  "magnetic_moment_mub_per_cell": 0.000,
  "cell": [[1.4844, 0.8570, 9.9957], [-1.4844, 0.8570, 9.9957], [0.0000, -1.7141, 9.9957]],
  "species": ["La", "Mo", "Au", "Au"],
  "frac_coords": [[0.0000, 0.0000, 0.0000], [0.5000, 0.5000, 0.5000], [0.2406, 0.2406, 0.2406], [0.7594, 0.7594, 0.7594]]
}



## ii
{
  "formula": "LaMoAu2",
  "functional": "PBEsol",
  "state": "optimized geometry",
  "magnetic_moment_mub_per_cell": 1.853,
  "cell": [[-2.1786, 2.1786, 4.2276], [2.1786, -2.1786, 4.2276], [2.1786, 2.1786, -4.2276]],
  "species": ["La", "Mo", "Au", "Au"],
  "frac_coords": [[0.0000, 0.0000, 0.0000], [0.5000, 0.5000, 0.0000], [0.2500, 0.7500, 0.5000], [0.7500, 0.2500, 0.5000]]
}



Most stable to least stable: ii, i



## i
{
  "formula": "LaOs2Au",
  "functional": "PBEsol",
  "state": "optimized geometry",
  "magnetic_moment_mub_per_cell": 0.000,
  "cell": [[2.9170, 0.0000, 0.0000], [0.0000, 2.9170, 0.0000], [0.0000, 0.0000, 8.3883]],
  "species": ["La", "Os", "Os", "Au"],
  "frac_coords": [[0.0000, 0.0000, 0.0000], [0.5000, 0.5000, 0.2840], [0.5000, 0.5000, 0.7160], [0.0000, 0.0000, 0.5000]]
}



## ii
{
  "formula": "LaOs2Au",
  "functional": "PBEsol",
  "state": "optimized geometry",
  "magnetic_moment_mub_per_cell": 0.001,
  "cell": [[-1.4833, 2.4329, 5.1098], [1.4833, -2.4329, 5.1098], [1.4833, 2.4329, -5.1098]],
  "species": ["La", "Os", "Os", "Au"],
  "frac_coords": [[0.0000, 0.0000, 0.0000], [0.5177, 0.5177, 0.0000], [0.7228, 0.2228, 0.5000], [0.2811, 0.7811, 0.5000]]
}



Most stable to least stable: ii, i



## i
{
  "formula": "LaRe2Au",
  "functional": "PBEsol",
  "state": "optimized geometry",
  "magnetic_moment_mub_per_cell": 0.000,
  "cell": [[3.2543, 0.0000, 0.0000], [0.0000, 4.9707, 0.0000], [-0.2458, 0.0000, 4.7476]],
  "species": ["La", "Re", "Re", "Au"],
  "frac_coords": [[0.0000, 0.0000, 0.0000], [0.3359, 0.5000, 0.7593], [0.6641, 0.5000, 0.2407], [0.5000, 0.0000, 0.5000]]
}



## ii
{
  "formula": "LaRe2Au",
  "functional": "PBEsol",
  "state": "optimized geometry",
  "magnetic_moment_mub_per_cell": 0.000,
  "cell": [[1.6014, -2.3383, 0.0000], [1.6014, 2.3383, 0.0000], [0.0000, 0.0000, 9.6131]],
  "species": ["La", "Re", "Re", "Au"],
  "frac_coords": [[0.0000, 0.0000, 0.0000], [0.0000, 0.0000, 0.4735], [0.5000, 0.5000, 0.2673], [0.5000, 0.5000, 0.7150]]
}



Most stable to least stable: ii, i



## i
{
  "formula": "LaRuAu2",
  "functional": "PBEsol",
  "state": "optimized geometry",
  "magnetic_moment_mub_per_cell": 0.001,
  "cell": [[-2.1317, 2.1317, 4.2080], [2.1317, -2.1317, 4.2080], [2.1317, 2.1317, -4.2080]],
  "species": ["La", "Ru", "Au", "Au"],
  "frac_coords": [[0.0000, 0.0000, 0.0000], [0.2500, 0.7500, 0.5000], [0.5000, 0.5000, 0.0000], [0.7500, 0.2500, 0.5000]]
}



## ii
{
  "formula": "LaRuAu2",
  "functional": "PBEsol",
  "state": "optimized geometry",
  "magnetic_moment_mub_per_cell": 0.000,
  "cell": [[2.2961, 1.3256, 4.7413], [-2.2961, 1.3256, 4.7413], [0.0000, -2.6513, 4.7413]],
  "species": ["La", "Ru", "Au", "Au"],
  "frac_coords": [[0.0000, 0.0000, 0.0000], [0.8187, 0.8187, 0.8187], [0.2092, 0.2092, 0.2092], [0.4755, 0.4755, 0.4755]]
}



Most stable to least stable: ii, i



## i
{
  "formula": "LaRuAu2",
  "functional": "PBEsol",
  "state": "optimized geometry",
  "magnetic_moment_mub_per_cell": 0.002,
  "cell": [[4.0834, 0.0000, 0.0000], [0.0000, 4.0834, 0.0000], [0.0000, 0.0000, 4.4983]],
  "species": ["La", "Ru", "Au", "Au"],
  "frac_coords": [[0.0000, 0.0000, 0.0000], [0.5000, 0.5000, 0.0000], [0.0000, 0.5000, 0.5000], [0.5000, 0.0000, 0.5000]]
}



## ii
{
  "formula": "LaRuAu2",
  "functional": "PBEsol",
  "state": "optimized geometry",
  "magnetic_moment_mub_per_cell": 0.831,
  "cell": [[1.4665, 0.8467, 9.9273], [-1.4665, 0.8467, 9.9273], [0.0000, -1.6934, 9.9273]],
  "species": ["La", "Ru", "Au", "Au"],
  "frac_coords": [[0.0000, 0.0000, 0.0000], [0.5000, 0.5000, 0.5000], [0.2405, 0.2405, 0.2405], [0.7595, 0.7595, 0.7595]]
}



Most stable to least stable: i, ii



## i
{
  "formula": "LaSc2Au",
  "functional": "PBEsol",
  "state": "optimized geometry",
  "magnetic_moment_mub_per_cell": 0.000,
  "cell": [[4.4800, 0.0000, 0.0000], [0.0000, 4.4800, 0.0000], [0.0000, 0.0000, 4.6131]],
  "species": ["La", "Sc", "Sc", "Au"],
  "frac_coords": [[0.0000, 0.0000, 0.0000], [0.0000, 0.5000, 0.5000], [0.5000, 0.0000, 0.5000], [0.5000, 0.5000, 0.0000]]
}



## ii
{
  "formula": "LaSc2Au",
  "functional": "PBEsol",
  "state": "optimized geometry",
  "magnetic_moment_mub_per_cell": 0.000,
  "cell": [[-1.8012, 2.4909, 5.2467], [1.8012, -2.4909, 5.2467], [1.8012, 2.4909, -5.2467]],
  "species": ["La", "Sc", "Sc", "Au"],
  "frac_coords": [[0.0000, 0.0000, 0.0000], [0.4392, 0.4392, 0.0000], [0.7225, 0.2225, 0.5000], [0.2429, 0.7429, 0.5000]]
}



## iii
{
  "formula": "LaSc2Au",
  "functional": "PBEsol",
  "state": "optimized geometry",
  "magnetic_moment_mub_per_cell": 0.000,
  "cell": [[3.6587, 0.0000, 0.0000], [0.0000, 4.9166, 0.0000], [0.0000, 0.0000, 5.1580]],
  "species": ["La", "Sc", "Sc", "Au"],
  "frac_coords": [[0.0000, 0.0000, 0.0000], [0.0000, 0.5000, 0.5000], [0.5000, 0.5000, 0.0000], [0.5000, 0.0000, 0.5000]]
}



## iv
{
  "formula": "LaSc2Au",
  "functional": "PBEsol",
  "state": "optimized geometry",
  "magnetic_moment_mub_per_cell": 1.931,
  "cell": [[0.0000, 3.6009, 3.6009], [3.6009, 0.0000, 3.6009], [3.6009, 3.6009, 0.0000]],
  "species": ["La", "Sc", "Sc", "Au"],
  "frac_coords": [[0.0000, 0.0000, 0.0000], [0.5000, 0.5000, 0.5000], [0.7500, 0.7500, 0.7500], [0.2500, 0.2500, 0.2500]]
}



Most stable to least stable: ii, iii, i, iv



## i
{
  "formula": "La2AuSe",
  "functional": "PBEsol",
  "state": "optimized geometry",
  "magnetic_moment_mub_per_cell": 0.001,
  "cell": [[2.1035, 1.2145, 7.3784], [-2.1035, 1.2145, 7.3784], [0.0000, -2.4289, 7.3784]],
  "species": ["La", "La", "Au", "Se"],
  "frac_coords": [[0.2488, 0.2488, 0.2488], [0.7512, 0.7512, 0.7512], [0.0000, 0.0000, 0.0000], [0.5000, 0.5000, 0.5000]]
}



## ii
{
  "formula": "La2AuSe",
  "functional": "PBEsol",
  "state": "optimized geometry",
  "magnetic_moment_mub_per_cell": 0.000,
  "cell": [[-2.4095, 2.7309, 3.8288], [2.4095, -2.7309, 3.8288], [2.4095, 2.7309, -3.8288]],
  "species": ["La", "La", "Au", "Se"],
  "frac_coords": [[0.2481, 0.2481, 0.0000], [0.7519, 0.7519, 0.0000], [0.5000, 0.0000, 0.5000], [0.0000, 0.5000, 0.5000]]
}



## iii
{
  "formula": "La2AuSe",
  "functional": "PBEsol",
  "state": "optimized geometry",
  "magnetic_moment_mub_per_cell": 0.000,
  "cell": [[4.2646, 0.0000, 0.0000], [0.0000, 4.2646, 0.0000], [0.0000, 0.0000, 6.2230]],
  "species": ["La", "La", "Au", "Se"],
  "frac_coords": [[0.0000, 0.0000, 0.0000], [0.5000, 0.5000, 0.5000], [0.0000, 0.0000, 0.5000], [0.5000, 0.5000, 0.0000]]
}



Most stable to least stable: iii, i, ii



## i
{
  "formula": "SrLa3Au",
  "functional": "PBEsol",
  "state": "optimized geometry",
  "magnetic_moment_mub_per_cell": 1.630,
  "cell": [[5.8702, 0.0000, 0.0000], [0.0000, 5.8702, 0.0000], [0.0000, 0.0000, 5.8702]],
  "species": ["Sr", "La", "La", "La", "Au"],
  "frac_coords": [[0.0000, 0.0000, 0.0000], [0.0000, 0.5000, 0.5000], [0.5000, 0.0000, 0.5000], [0.5000, 0.5000, 0.0000], [0.5000, 0.5000, 0.5000]]
}



## ii
{
  "formula": "SrLa3Au",
  "functional": "PBEsol",
  "state": "optimized geometry",
  "magnetic_moment_mub_per_cell": 0.002,
  "cell": [[5.6275, 0.0000, 0.0000], [0.0000, 5.6275, 0.0000], [0.0000, 0.0000, 5.6275]],
  "species": ["Sr", "La", "La", "La", "Au"],
  "frac_coords": [[0.0000, 0.0000, 0.0000], [0.0000, 0.0000, 0.5000], [0.0000, 0.5000, 0.0000], [0.5000, 0.0000, 0.0000], [0.5000, 0.5000, 0.5000]]
}



Most stable to least stable: i, ii



## i
{
  "formula": "SrLa2Au",
  "functional": "PBEsol",
  "state": "optimized geometry",
  "magnetic_moment_mub_per_cell": 0.000,
  "cell": [[4.1013, 0.0000, 0.0000], [0.0000, 4.7978, 0.0000], [-1.7471, 0.0000, 6.5265]],
  "species": ["Sr", "La", "La", "Au"],
  "frac_coords": [[0.0000, 0.0000, 0.0000], [0.3950, 0.5000, 0.7046], [0.6050, 0.5000, 0.2954], [0.0000, 0.0000, 0.5000]]
}



## ii
{
  "formula": "SrLa2Au",
  "functional": "PBEsol",
  "state": "optimized geometry",
  "magnetic_moment_mub_per_cell": 0.001,
  "cell": [[3.8394, 0.0000, 0.0000], [0.0000, 3.8394, 0.0000], [0.0000, 0.0000, 9.5087]],
  "species": ["Sr", "La", "La", "Au"],
  "frac_coords": [[0.0000, 0.0000, 0.0000], [0.5000, 0.5000, 0.3321], [0.5000, 0.5000, 0.6679], [0.0000, 0.0000, 0.5000]]
}



## iii
{
  "formula": "SrLa2Au",
  "functional": "PBEsol",
  "state": "optimized geometry",
  "magnetic_moment_mub_per_cell": 0.000,
  "cell": [[3.7577, 0.0000, 0.0000], [0.0000, 3.7577, 0.0000], [0.0000, 0.0000, 9.1287]],
  "species": ["Sr", "La", "La", "Au"],
  "frac_coords": [[0.0000, 0.0000, 0.0000], [0.0000, 0.0000, 0.3950], [0.5000, 0.5000, 0.6618], [0.5000, 0.5000, 0.2152]]
}



Most stable to least stable: iii, ii, i



## i
{
  "formula": "LaTc2Au",
  "functional": "PBEsol",
  "state": "optimized geometry",
  "magnetic_moment_mub_per_cell": 1.134,
  "cell": [[0.0000, 3.2745, 3.2745], [3.2745, 0.0000, 3.2745], [3.2745, 3.2745, 0.0000]],
  "species": ["La", "Tc", "Tc", "Au"],
  "frac_coords": [[0.0000, 0.0000, 0.0000], [0.2500, 0.2500, 0.2500], [0.7500, 0.7500, 0.7500], [0.5000, 0.5000, 0.5000]]
}



## ii
{
  "formula": "LaTc2Au",
  "functional": "PBEsol",
  "state": "optimized geometry",
  "magnetic_moment_mub_per_cell": 0.538,
  "cell": [[4.2025, 0.0000, 0.0000], [0.0000, 4.2025, 0.0000], [0.0000, 0.0000, 4.0628]],
  "species": ["La", "Tc", "Tc", "Au"],
  "frac_coords": [[0.0000, 0.0000, 0.0000], [0.0000, 0.5000, 0.5000], [0.5000, 0.0000, 0.5000], [0.5000, 0.5000, 0.0000]]
}



## iii
{
  "formula": "LaTc2Au",
  "functional": "PBEsol",
  "state": "optimized geometry",
  "magnetic_moment_mub_per_cell": 0.000,
  "cell": [[2.1179, 1.2228, 5.4728], [-2.1179, 1.2228, 5.4728], [0.0000, -2.4456, 5.4728]],
  "species": ["La", "Tc", "Tc", "Au"],
  "frac_coords": [[0.0000, 0.0000, 0.0000], [0.4765, 0.4765, 0.4765], [0.7992, 0.7992, 0.7992], [0.2173, 0.2173, 0.2173]]
}



Most stable to least stable: iii, ii, i